Record 1
Computed, not measured: a relaxed structure of BaTbAg2 at the PBE level of DFT.

Results
* DFT total energy: -3.22 eV/atom
* M_tot: 0.0 Bohr magnetons per cell
* V: 129 Å³/f.u.
* symmetry: R-3m (166)
* crystal system: trigonal
* energy of formation from the pure elements: -0.157 eV/atom
* DOS(E_F): 3.7 states/eV/cell

Cell lengths 5.133, 5.133, 6.376 Å; angles 66.27, 66.27, 60.00 degrees
Fractional positions:
1 Tb 0.500 0.500 0.500
2 Ag 0.203 0.203 0.392
3 Ag 0.797 0.797 0.608
4 Ba 0.000 0.000 0.000

Record 2
Computed, not measured: a relaxed structure of BaTbAg2 at the PBE level of DFT.

Results
* DFT total energy: -3.22 eV/atom
* M_tot: 0.0 Bohr magnetons per cell
* V: 115 Å³/f.u.
* symmetry: P4/mmm (123)
* crystal system: tetragonal
* energy of formation from the pure elements: -0.158 eV/atom
* DOS(E_F): 2.8 states/eV/cell

Cell lengths 3.754, 5.535, 5.535 Å; angles 90.00, 90.00, 90.00 degrees
Fractional positions:
1 Ba 0.500 0.500 0.500
2 Ag 0.000 0.000 0.500
3 Tb 0.500 0.000 0.000
4 Ag 0.000 0.500 0.000